[1]
Material: LaSc2Se
Method: DFT, PBE-GGA
State: relaxed

Cell and atoms, written as POSCAR:
```
LaSc2Se
1.0
-4.268 4.268 3.034
4.268 -4.268 3.034
4.268 4.268 -3.034
La Sc Se
2 4 2
Direct
0.000 0.000 0.000 La
0.750 0.250 0.500 La
0.207 0.125 0.582 Sc
0.375 0.793 0.918 Sc
0.543 0.625 0.418 Sc
0.875 0.457 0.082 Sc
0.250 0.750 0.500 Se
0.500 0.500 0.000 Se
```

For the uncorrected formation energy, the calculation gives -2.14 eV per formula unit. Its total magnetization is 0.00 μB/atom. Its crystal system is tetragonal.



[2]
Material: Rb2NaS2
Method: DFT, PBE-GGA
State: relaxed

Cell and atoms, written as POSCAR:
```
Rb2NaS2
1.0
-2.502 2.502 6.929
2.502 -2.502 6.929
2.502 2.502 -6.929
Rb Na S
2 1 2
Direct
0.250 0.750 0.500 Rb
0.750 0.250 0.500 Rb
0.000 0.000 0.000 Na
0.399 0.399 0.000 S
0.601 0.601 0.000 S
```

For the uncorrected formation energy, the calculation gives -2.20 eV per formula unit. Its total magnetization is 0.19 μB/atom. Its crystal system is tetragonal.



[3]
Material: Y2ZrNpAs4
Method: DFT, PBE-GGA
State: relaxed

Cell and atoms, written as POSCAR:
```
Y2ZrNpAs4
1.0
6.999 0.000 0.000
0.000 4.043 0.000
-2.305 0.000 6.632
Y Zr Np As
2 1 1 4
Direct
0.000 0.000 0.000 Y
0.500 0.500 0.000 Y
0.000 0.500 0.500 Zr
0.500 0.000 0.500 Np
0.241 0.000 0.739 As
0.246 0.500 0.257 As
0.754 0.500 0.743 As
0.759 0.000 0.261 As
```

The energy of formation is -946 kJ/mol of formula units. Its total magnetization is 0.50 μB/atom. Its crystal system is monoclinic.



[4]
Material: YBrCl
Method: DFT, PBE-GGA
State: relaxed

Cell and atoms, written as POSCAR:
```
YBrCl
1.0
3.831 0.000 0.000
-0.001 6.628 0.000
-1.873 -3.257 7.402
Y Br Cl
2 2 2
Direct
0.250 0.240 0.000 Y
0.750 0.760 0.000 Y
0.125 0.789 0.745 Br
0.875 0.211 0.255 Br
0.355 0.686 0.214 Cl
0.645 0.314 0.786 Cl
```

For the uncorrected formation energy, the calculation gives -5.31 eV per formula unit. Its total magnetization is 0.00 μB/atom. Its crystal system is triclinic.



[5]
Material: La2YPt
Method: DFT, PBE-GGA
State: relaxed

Cell and atoms, written as POSCAR:
```
La2YPt
1.0
0.000 3.812 3.812
3.812 0.000 3.812
3.812 3.812 0.000
La Y Pt
2 1 1
Direct
0.250 0.250 0.250 La
0.750 0.750 0.750 La
0.000 0.000 0.000 Y
0.500 0.500 0.500 Pt
```

The energy of formation is -80 kJ/mol of formula units. Its total magnetization is 0.00 μB/atom. Its crystal system is cubic.



[6]
Material: TbCo4Cu
Method: DFT, PBE-GGA
State: relaxed

Cell and atoms, written as POSCAR:
```
TbCo4Cu
1.0
0.000 3.462 3.462
3.462 0.000 3.462
3.462 3.462 0.000
Tb Co Cu
1 4 1
Direct
0.000 0.000 0.000 Tb
0.376 0.376 0.376 Co
0.376 0.376 0.872 Co
0.376 0.872 0.376 Co
0.872 0.376 0.376 Co
0.750 0.750 0.750 Cu
```

The energy of formation is -24 kJ/mol of formula units. Its total magnetization is 0.95 μB/atom. Its crystal system is cubic.



[7]
Material: RbTlHgSb
Method: DFT, PBE-GGA
State: relaxed

Cell and atoms, written as POSCAR:
```
RbTlHgSb
1.0
0.000 4.033 4.033
4.033 0.000 4.033
4.033 4.033 0.000
Rb Tl Hg Sb
1 1 1 1
Direct
0.000 0.000 0.000 Rb
0.750 0.750 0.750 Tl
0.250 0.250 0.250 Hg
0.500 0.500 0.500 Sb
```

For the uncorrected formation energy, the calculation gives -0.49 eV per formula unit. Its total magnetization is 0.00 μB/atom. Its crystal system is cubic.



[8]
Material: Ba5SnS8
Method: DFT, PBE-GGA
State: relaxed

Cell and atoms, written as POSCAR:
```
Ba5SnS8
1.0
-4.556 4.556 5.139
4.556 -4.556 5.139
4.556 4.556 -5.139
Ba Sn S
5 1 8
Direct
0.000 0.000 0.000 Ba
0.250 0.645 0.131 Ba
0.355 0.485 0.605 Ba
0.515 0.119 0.869 Ba
0.881 0.750 0.395 Ba
0.750 0.250 0.500 Sn
0.065 0.241 0.699 S
0.174 0.764 0.781 S
0.236 0.017 0.411 S
0.542 0.366 0.301 S
0.607 0.826 0.589 S
0.634 0.935 0.176 S
0.759 0.458 0.824 S
0.983 0.393 0.219 S
```

For the uncorrected formation energy, the calculation gives -18.85 eV per formula unit. Its total magnetization is 0.15 μB/atom. Its crystal system is tetragonal.



[9]
Material: CdSi2Cl8
Method: DFT, PBE-GGA
State: relaxed

Cell and atoms, written as POSCAR:
```
CdSi2Cl8
1.0
6.844 -3.757 0.000
6.844 3.757 0.000
-4.375 0.000 9.024
Cd Si Cl
1 2 8
Direct
0.000 0.000 0.000 Cd
0.218 0.218 0.687 Si
0.782 0.782 0.313 Si
0.055 0.613 0.246 Cl
0.158 0.158 0.462 Cl
0.383 0.383 0.779 Cl
0.387 0.945 0.754 Cl
0.613 0.055 0.246 Cl
0.617 0.617 0.221 Cl
0.842 0.842 0.538 Cl
0.945 0.387 0.754 Cl
```

For the uncorrected formation energy, the calculation gives -11.77 eV per formula unit. Its total magnetization is 0.00 μB/atom. Its crystal system is monoclinic.



[10]
Material: CsNa2PmCl6
Method: DFT, PBE-GGA
State: relaxed

Cell and atoms, written as POSCAR:
```
CsNa2PmCl6
1.0
3.678 2.124 6.757
-3.678 2.124 6.757
0.000 -4.247 6.757
Cs Na Pm Cl
1 2 1 6
Direct
0.000 0.000 0.000 Cs
0.271 0.271 0.271 Na
0.788 0.788 0.788 Na
0.468 0.468 0.468 Pm
0.064 0.588 0.478 Cl
0.207 0.533 0.859 Cl
0.478 0.064 0.588 Cl
0.533 0.859 0.207 Cl
0.588 0.478 0.064 Cl
0.859 0.207 0.533 Cl
```

For the uncorrected formation energy, the calculation gives -20.41 eV per formula unit. Its total magnetization is 0.00 μB/atom. Its crystal system is trigonal.



[11]
Material: SrCo2Ir
Method: DFT, PBE-GGA
State: relaxed

Cell and atoms, written as POSCAR:
```
SrCo2Ir
1.0
0.000 3.245 3.245
3.245 0.000 3.245
3.245 3.245 0.000
Sr Co Ir
1 2 1
Direct
0.000 0.000 0.000 Sr
0.500 0.500 0.500 Co
0.750 0.750 0.750 Co
0.250 0.250 0.250 Ir
```

The energy of formation is 285 kJ/mol of formula units. Its total magnetization is 1.01 μB/atom. Its crystal system is cubic.



[12]
Material: Co3TcNi
Method: DFT, PBE-GGA
State: relaxed

Cell and atoms, written as POSCAR:
```
Co3TcNi
1.0
4.211 0.000 0.000
0.000 4.211 0.000
0.000 0.000 4.211
Co Tc Ni
3 1 1
Direct
0.000 0.000 0.500 Co
0.000 0.500 0.000 Co
0.500 0.000 0.000 Co
0.500 0.500 0.500 Tc
0.000 0.000 0.000 Ni
```

The energy of formation is 619 kJ/mol of formula units. Its total magnetization is 1.88 μB/atom. Its crystal system is cubic.



[13]
Material: LaSmHo2In4
Method: DFT, PBE-GGA
State: relaxed

Cell and atoms, written as POSCAR:
```
LaSmHo2In4
1.0
2.700 1.559 8.844
-2.700 1.559 8.844
0.000 -3.117 8.844
La Sm Ho In
1 1 2 4
Direct
0.000 0.000 0.000 La
0.500 0.500 0.500 Sm
0.250 0.250 0.250 Ho
0.750 0.750 0.750 Ho
0.126 0.126 0.126 In
0.376 0.376 0.376 In
0.624 0.624 0.624 In
0.874 0.874 0.874 In
```

The energy of formation is -367 kJ/mol of formula units. Its total magnetization is 0.00 μB/atom. Its crystal system is trigonal.



[14]
Material: Mg3NiIr
Method: DFT, PBE-GGA
State: relaxed

Cell and atoms, written as POSCAR:
```
Mg3NiIr
1.0
4.872 0.000 0.000
0.000 4.872 0.000
0.000 0.000 4.872
Mg Ni Ir
3 1 1
Direct
0.000 0.000 0.500 Mg
0.000 0.500 0.000 Mg
0.500 0.000 0.000 Mg
0.500 0.500 0.500 Ni
0.000 0.000 0.000 Ir
```

The energy of formation is 237 kJ/mol of formula units. Its total magnetization is 0.00 μB/atom. Its crystal system is cubic.



[15]
Material: TbBeCuSi2
Method: DFT, PBE-GGA
State: relaxed

Cell and atoms, written as POSCAR:
```
TbBeCuSi2
1.0
-1.972 1.972 4.910
1.972 -1.972 4.910
1.972 1.972 -4.910
Tb Be Cu Si
1 1 1 2
Direct
0.000 0.000 0.000 Tb
0.750 0.250 0.500 Be
0.250 0.750 0.500 Cu
0.380 0.380 0.000 Si
0.620 0.620 0.000 Si
```

For the uncorrected formation energy, the calculation gives -2.41 eV per formula unit. Its total magnetization is 0.00 μB/atom. Its crystal system is tetragonal.



[16]
Material: AlTlRuCl2
Method: DFT, PBE-GGA
State: relaxed

Cell and atoms, written as POSCAR:
```
AlTlRuCl2
1.0
5.016 0.000 0.000
0.000 5.016 0.000
0.000 0.000 4.802
Al Tl Ru Cl
1 1 1 2
Direct
0.000 0.000 0.000 Al
0.500 0.500 0.000 Tl
0.000 0.000 0.500 Ru
0.000 0.500 0.500 Cl
0.500 0.000 0.500 Cl
```

For the uncorrected formation energy, the calculation gives -0.19 eV per formula unit. Its total magnetization is 0.02 μB/atom. Its crystal system is tetragonal.



[17]
Material: Sn2Te2Se
Method: DFT, PBE-GGA
State: relaxed

Cell and atoms, written as POSCAR:
```
Sn2Te2Se
1.0
-2.185 2.185 8.019
2.185 -2.185 8.019
2.185 2.185 -8.019
Sn Te Se
2 2 1
Direct
0.093 0.093 0.000 Sn
0.907 0.907 0.000 Sn
0.250 0.750 0.500 Te
0.750 0.250 0.500 Te
0.500 0.500 0.000 Se
```

For the uncorrected formation energy, the calculation gives 0.10 eV per formula unit. Its total magnetization is 0.00 μB/atom. Its crystal system is tetragonal.



[18]
Material: AlCd2In
Method: DFT, PBE-GGA
State: relaxed

Cell and atoms, written as POSCAR:
```
AlCd2In
1.0
5.062 0.000 0.000
0.000 5.062 0.000
0.000 0.000 3.646
Al Cd In
1 2 1
Direct
0.000 0.000 0.000 Al
0.000 0.500 0.500 Cd
0.500 0.000 0.500 Cd
0.500 0.500 0.000 In
```

The energy of formation is 71 kJ/mol of formula units. Its total magnetization is 0.00 μB/atom. Its crystal system is tetragonal.



[19]
Material: MnP2Ru
Method: DFT, PBE-GGA
State: relaxed

Cell and atoms, written as POSCAR:
```
MnP2Ru
1.0
-2.590 2.590 5.133
2.590 -2.590 5.133
2.590 2.590 -5.133
Mn P Ru
2 4 2
Direct
0.000 0.000 0.000 Mn
0.750 0.250 0.500 Mn
0.117 0.625 0.992 P
0.375 0.367 0.492 P
0.633 0.125 0.008 P
0.875 0.883 0.508 P
0.250 0.750 0.500 Ru
0.500 0.500 0.000 Ru
```

The energy of formation is -41 kJ/mol of formula units. Its total magnetization is 0.35 μB/atom. Its crystal system is tetragonal.



[20]
Material: Y2TaSi
Method: DFT, PBE-GGA
State: relaxed

Cell and atoms, written as POSCAR:
```
Y2TaSi
1.0
-1.856 2.447 5.066
1.856 -2.447 5.066
1.856 2.447 -5.066
Y Ta Si
2 1 1
Direct
0.000 0.000 0.000 Y
0.711 0.211 0.500 Y
0.421 0.421 0.000 Ta
0.243 0.743 0.500 Si
```

For the uncorrected formation energy, the calculation gives -0.26 eV per formula unit. Its total magnetization is 0.22 μB/atom. Its crystal system is orthorhombic.